## TiCrGaO6 (PBE with a Hubbard U)

Data for an optimized crystal structure of TiCrGaO6.

* space-group type: P4_2nm
* electronic total energy: -130.96 eV/cell
* calculated volume: 185.3 Å³/cell

The structure in POSCAR format:
```
TiCrGaO6
1.0
4.550 0.000 0.000
0.000 4.550 0.000
0.000 0.000 8.947
O Ti Ga Cr
12 2 2 2
direct
0.290 0.290 0.001 O
0.195 0.805 0.159 O
0.305 0.305 0.659 O
0.193 0.807 0.835 O
0.790 0.210 0.501 O
0.693 0.693 0.335 O
0.710 0.710 0.001 O
0.210 0.790 0.501 O
0.695 0.695 0.659 O
0.307 0.307 0.335 O
0.807 0.193 0.835 O
0.805 0.195 0.159 O
0.500 0.500 0.173 Ti
0.000 0.000 0.673 Ti
0.500 0.500 0.834 Ga
0.000 0.000 0.334 Ga
0.500 0.500 0.502 Cr
0.000 0.000 0.002 Cr
```